An optimized crystal structure of Ni4Pb3, computed with PBE.

Structure (extended XYZ):
```
7
Lattice="6.2491 0.0000 0.0000 -3.1246 5.4119 0.0000 0.0000 0.0000 4.2898" Properties=species:S:1:pos:R:3 pbc="T T T"
Ni 0.0000 0.0000 1.0682
Ni 0.0000 0.0000 3.2216
Ni 0.0000 3.6079 0.0000
Ni 3.1246 1.8040 0.0000
Pb -1.5623 2.7060 2.1449
Pb 3.1246 0.0000 2.1449
Pb 1.5623 2.7060 2.1449
```

Computed properties:
The value obtained for the energy above the lowest structure with this stoichiometry is 544 meV/atom. Its energy of formation from the pure elements is 773 meV/atom.